Below is crystalline KDy2Ho at its relaxed geometry, with properties calculated at the PBE level.

Lattice parameters (Å, degrees): 3.5690 3.5690 39.6008 90.00 90.00 120.00
With the nearest neighbours (Å) after each atom.
Positions (direct):
K 0.0000 0.0000 0.0000  6 K 3.57, 2 Dy 3.80
K 0.3333 0.6667 0.6667  6 K 3.57, 2 Dy 3.80
K 0.6667 0.3333 0.3333  6 K 3.57, 2 Dy 3.80
Dy 0.0000 0.0000 0.0961  3 Ho 3.47, 6 Dy 3.57, 1 K 3.80
Dy 0.0000 0.0000 0.9039  3 Ho 3.47, 6 Dy 3.57, 1 K 3.80
Dy 0.3333 0.6667 0.5706  3 Ho 3.47, 6 Dy 3.57, 1 K 3.80
Dy 0.3333 0.6667 0.7628  3 Ho 3.47, 6 Dy 3.57, 1 K 3.80
Dy 0.6667 0.3333 0.2372  3 Ho 3.47, 6 Dy 3.57, 1 K 3.80
Dy 0.6667 0.3333 0.4294  3 Ho 3.47, 6 Dy 3.57, 1 K 3.80
Ho 0.0000 0.0000 0.5000  6 Dy 3.47, 6 Ho 3.57
Ho 0.3333 0.6667 0.1667  6 Dy 3.47, 6 Ho 3.57
Ho 0.6667 0.3333 0.8333  6 Dy 3.47, 6 Ho 3.57

Its calculated volume is 36.40 A^3/atom. The calculation puts the formation enthalpy at 0 K at 0.95 eV/f.u. The value obtained for the final energy is -3.481 eV/atom. For the density of states at the Fermi level, the calculation gives 3.9 states/eV/f.u.